Compound: Ac5Tl4N
Source: Alexandria
Functional: PBE
Structure: relaxed

Cell and atoms, written as POSCAR:
```
Ac5Tl4N
1.0
-5.231 5.231 3.074
5.231 -5.231 3.074
5.231 5.231 -3.074
Ac Tl N
5 4 1
direct
0.000 0.000 0.000
0.259 0.356 0.657
0.356 0.699 0.098
0.601 0.259 0.902
0.699 0.601 0.343
0.023 0.628 0.696
0.327 0.023 0.395
0.628 0.932 0.605
0.932 0.327 0.304
0.424 0.424 0.000
```

## Properties
Symmetry: I4, No. 79
VASP energy: -4.20 eV per atom
DOS at the Fermi energy: 9.52 states/eV/f.u.
Formation energy (no corrections): -8.52 kcal/mol of atoms